DFT (PBE) results for a geometry-optimized MnAlV2H structure.

Geometry as CIF:
```
data_MnAlV2H
_cell_length_a 3.794
_cell_length_b 3.794
_cell_length_c 3.840
_cell_angle_alpha 90.00
_cell_angle_beta 90.00
_cell_angle_gamma 90.00
_space_group_name_H-M_alt 'P 4/m m m'
_space_group_IT_number 123
_space_group_name_Hall '-P 4 2'
loop_
_atom_site_label
_atom_site_fract_x
_atom_site_fract_y
_atom_site_fract_z
Mn1 0.000 0.000 0.000
Al1 0.500 0.500 0.000
V1 0.000 0.500 0.500
H1 0.000 0.000 0.500
```

Uncorrected energy in eV/atom: -7.0688
Total magnetization in μB/cell: 1.38
Theoretical density in Mg/m³: 5.6